# 1
## Nd2PuIn (PBE)

Data for Nd2PuIn after structural relaxation.

abc: 5.023 5.023 4.681
angles: 90.00 90.00 90.00
Atoms (fractional coordinates):
Nd 0.000 0.500 0.000
Nd 0.500 0.000 0.000
Pu 0.000 0.000 0.500
In 0.500 0.500 0.500

## Properties
Crystal system: tetragonal
VASP energy, eV per formula unit: -27.2
SG: P4/mmm
Formation energy, eV per formula unit: -0.592
V, Å³ per atom: 29.5

***

# 2
## NdPu2In (PBE)

Data for NdPu2In after structural relaxation.

abc: 4.626 4.626 5.183
angles: 90.00 90.00 90.00
Atoms (fractional coordinates):
Nd 0.000 0.000 0.000
Pu 0.000 0.500 0.500
Pu 0.500 0.000 0.500
In 0.500 0.500 0.000

## Properties
Crystal system: tetragonal
VASP energy, eV per formula unit: -36.5
SG: P4/mmm
Formation energy, eV per formula unit: -0.379
V, Å³ per atom: 27.7

***

# 3
## Nd3PuIn4 (PBE)

Data for Nd3PuIn4 after structural relaxation.

abc: 3.834 3.834 15.618
angles: 90.00 90.00 90.00
Atoms (fractional coordinates):
Nd 0.000 0.000 0.000
Nd 0.000 0.000 0.254
Nd 0.000 0.000 0.746
Pu 0.000 0.000 0.500
In 0.500 0.500 0.127
In 0.500 0.500 0.379
In 0.500 0.500 0.621
In 0.500 0.500 0.873

## Properties
Crystal system: tetragonal
VASP energy, eV per formula unit: -42.6
SG: P4/mmm
Formation energy, eV per formula unit: -3.049
V, Å³ per atom: 28.7

***

# 4
## NdPuIn2 (PBE)

Data for NdPuIn2 after structural relaxation.

abc: 3.379 3.379 9.544
angles: 90.00 90.00 90.00
Atoms (fractional coordinates):
Nd 0.000 0.000 0.000
Pu 0.000 0.000 0.500
In 0.500 0.500 0.254
In 0.500 0.500 0.746

## Properties
Crystal system: tetragonal
VASP energy, eV per formula unit: -25.8
SG: P4/mmm
Formation energy, eV per formula unit: -1.231
V, Å³ per atom: 27.2

***

# 5
## NdPuIn2 (PBE)

Data for NdPuIn2 after structural relaxation.

abc: 11.053 11.053 11.053
angles: 18.17 18.17 18.17
Atoms (fractional coordinates):
Nd 0.000 0.000 0.000
Pu 0.500 0.500 0.500
In 0.249 0.249 0.249
In 0.751 0.751 0.751

## Properties
Crystal system: trigonal
VASP energy, eV per formula unit: -25.0
SG: R-3m
Formation energy, eV per formula unit: -0.461
V, Å³ per atom: 28.7

***

# 6
## Nd2PuIn (PBE)

Data for Nd2PuIn after structural relaxation.

abc: 3.672 3.672 8.973
angles: 90.00 90.00 90.00
Atoms (fractional coordinates):
Nd 0.000 0.000 0.235
Nd 0.000 0.000 0.765
Pu 0.500 0.500 0.500
In 0.500 0.500 0.000

## Properties
Crystal system: tetragonal
VASP energy, eV per formula unit: -27.1
SG: P4/mmm
Formation energy, eV per formula unit: -0.468
V, Å³ per atom: 30.3